Entry 1:
DyTmNiRh, relaxed, DFT GGA-PBE; total magnetization = 0.00 Bohr magnetons per cell; electronic total energy = -24.924 eV per cell; V = 81.2 Å³/f.u.; DFT formation energy = -679 meV per atom; Fermi-level density of states = 2.20 states/eV per cell
1.0
3.7778 0.0000 0.0000
0.0000 4.1156 0.0000
-1.8889 0.0000 5.2233
Tm Dy Ni Rh
1 1 1 1
Direct
0.8594 0.5000 0.7188
0.1421 0.0000 0.2842
0.5786 0.5000 0.1572
0.4199 0.0000 0.8399

Entry 2:
CrRe2Ru, relaxed, DFT GGA-PBE; total magnetization = 0.00 Bohr magnetons per cell; electronic total energy = -43.370 eV per cell; V = 56.2 Å³/f.u.; DFT formation energy = 106 meV per atom; Fermi-level density of states = 4.50 states/eV per cell
1.0
-0.2708 -0.2084 -4.6924
3.9304 -1.8999 -1.7542
-2.9391 -1.4006 3.3963
Re Cr Ru
2 1 1
Direct
0.0000 0.0000 0.0000
0.5000 0.5000 0.0000
0.7500 0.2500 0.5000
0.2500 0.7500 0.5000

Entry 3:
LaTm2ScCd4, relaxed, DFT GGA-PBE; total magnetization = 0.01 Bohr magnetons per cell; electronic total energy = -26.088 eV per cell; V = 207.0 Å³/f.u.; DFT formation energy = -278 meV per atom; Fermi-level density of states = 8.28 states/eV per cell
1.0
5.2454 0.0000 0.0000
2.6227 4.5426 0.0000
2.6227 1.5142 8.6886
Tm Cd La Sc
2 4 1 1
Direct
0.7526 0.7526 0.7422
0.2474 0.2474 0.2578
0.6180 0.6180 0.1460
0.1284 0.1284 0.6147
0.3820 0.3820 0.8540
0.8716 0.8716 0.3853
0.0000 0.0000 0.0000
0.5000 0.5000 0.5000

Entry 4:
Er2Ga5IrRu2, relaxed, DFT GGA-PBE; total magnetization = 0.00 Bohr magnetons per cell; electronic total energy = -111.180 eV per cell; V = 175.2 Å³/f.u.; DFT formation energy = -392 meV per atom; Fermi-level density of states = 11.87 states/eV per cell
1.0
-1.3469 -3.1544 1.6605
6.8619 -5.1710 -4.2574
5.7774 1.4852 7.5078
Ru Ir Ga Er
4 2 10 4
Direct
0.0000 0.3813 0.1187
0.0000 0.8813 0.3813
0.0000 0.1187 0.6187
0.0000 0.6187 0.8813
0.0000 0.5000 0.5000
0.0000 0.0000 0.0000
0.5000 0.0000 0.5000
0.5000 0.0566 0.8054
0.5000 0.5000 0.0000
0.5000 0.4434 0.3054
0.5000 0.9434 0.1946
0.5000 0.3054 0.5566
0.5000 0.5566 0.6946
0.5000 0.1946 0.0566
0.5000 0.6946 0.4434
0.5000 0.8054 0.9434
0.0000 0.3201 0.8201
0.0000 0.6799 0.1799
0.0000 0.8201 0.6799
0.0000 0.1799 0.3201

Entry 5:
GdPuCdIr, relaxed, DFT GGA-PBE; total magnetization = 12.39 Bohr magnetons per cell; electronic total energy = -39.363 eV per cell; V = 92.4 Å³/f.u.; DFT formation energy = -293 meV per atom; Fermi-level density of states = 8.65 states/eV per cell
1.0
-1.4929 4.6835 1.2564
-4.9156 0.9655 0.8045
-1.6614 0.9586 4.6972
Pu Ir Gd Cd
1 1 1 1
Direct
0.5000 0.5000 0.5000
0.2500 0.2500 0.2500
0.0000 0.0000 0.0000
0.7500 0.7500 0.7500

Entry 6:
La5PrDy2Y, relaxed, DFT GGA-PBE; total magnetization = 0.00 Bohr magnetons per cell; electronic total energy = -87.896 eV per cell; V = 323.3 Å³/f.u.; DFT formation energy = 126 meV per atom; Fermi-level density of states = 26.98 states/eV per cell
1.0
5.5346 0.0000 0.0000
-2.7673 10.9200 0.0000
0.0000 0.0000 10.7002
La Dy Pr Y
10 4 2 2
Direct
0.0003 0.0005 0.5082
0.2789 0.5578 0.3170
0.7211 0.4422 0.8170
0.2788 0.5575 0.6993
0.5000 0.0001 0.2583
0.3778 0.7557 0.0082
0.5000 0.9999 0.7583
0.7212 0.4425 0.1993
0.9997 0.9995 0.0082
0.6222 0.2443 0.5082
0.1125 0.2250 0.2564
0.8875 0.7750 0.7564
0.1124 0.2248 0.7601
0.8876 0.7752 0.2601
0.2152 0.4304 0.0081
0.7848 0.5696 0.5081
0.3997 0.7994 0.5082
0.6003 0.2006 0.0082

Entry 7:
AsPd2Pt, relaxed, DFT GGA-PBE; total magnetization = 0.00 Bohr magnetons per cell; electronic total energy = -44.150 eV per cell; V = 63.9 Å³/f.u.; DFT formation energy = -250 meV per atom; Fermi-level density of states = 3.62 states/eV per cell
1.0
3.8645 0.0050 0.0000
-1.9252 4.2670 0.0000
0.0000 0.0000 7.7412
Pt Pd As
2 4 2
Direct
0.9568 0.9114 0.2500
0.0432 0.0886 0.7500
0.6468 0.2914 0.4351
0.3532 0.7086 0.9351
0.6468 0.2914 0.0649
0.3532 0.7086 0.5649
0.7368 0.4777 0.7500
0.2632 0.5223 0.2500

Entry 8:
La10Ge3Te3, relaxed, DFT GGA-PBE; total magnetization = 1.35 Bohr magnetons per cell; electronic total energy = -87.521 eV per cell; formation energy from raw total energies = -15.0 eV/f.u.; V = 499.8 Å³/f.u.; Fermi-level density of states = 21.71 states/eV per cell
1.0
6.5706 0.0000 0.0000
0.0000 8.1161 -4.6858
0.0000 0.0000 9.3717
La Te Ge
10 3 3
Direct
0.2577 0.6667 0.3333
0.2577 0.3333 0.6667
0.5000 0.2554 0.2554
0.7423 0.3333 0.6667
0.0000 0.7441 0.7441
0.7423 0.6667 0.3333
0.0000 0.2559 0.0000
0.5000 0.0000 0.7446
0.0000 0.0000 0.2559
0.5000 0.7446 0.0000
0.0000 0.6147 0.0000
0.0000 0.0000 0.6147
0.0000 0.3853 0.3853
0.5000 0.6202 0.6202
0.5000 0.3798 0.0000
0.5000 0.0000 0.3798

Entry 9:
Cs2BePN, relaxed, DFT GGA-PBE; total magnetization = 2.03 Bohr magnetons per cell; electronic total energy = -16.108 eV per cell; formation energy from raw total energies = 3.1 eV/f.u.; V = 169.7 Å³/f.u.; Fermi-level density of states = 2.85 states/eV per cell
1.0
-5.2857 2.5408 3.0711
-0.9577 -3.5301 1.2722
3.6342 0.9769 5.4465
Cs P N Be
2 1 1 1
Direct
0.0000 0.0000 0.5000
0.5000 0.0000 0.0000
0.0000 0.5000 0.0000
0.5000 0.5000 0.5000
0.0000 0.0000 0.0000

Entry 10:
Tl17Sn2, relaxed, DFT GGA-PBE; total magnetization = 0.00 Bohr magnetons per cell; electronic total energy = -46.161 eV per cell; V = 629.0 Å³/f.u.; DFT formation energy = 109 meV per atom; Fermi-level density of states = 7.81 states/eV per cell
1.0
-4.0804 -6.8239 -3.6600
-2.5985 -4.6123 6.9704
-8.4330 2.2338 0.7109
Tl Sn
17 2
Direct
0.6921 0.3079 0.0000
0.5000 0.0000 0.0000
0.6921 0.0000 0.3079
0.6327 0.6327 0.1503
0.3079 0.0000 0.6921
0.0000 0.0000 0.5000
0.0934 0.0934 0.0934
0.0000 0.3079 0.6921
0.3673 0.3673 0.8497
0.3673 0.8497 0.3673
0.1503 0.6327 0.6327
0.0000 0.5000 0.0000
0.0000 0.6921 0.3079
0.9066 0.9066 0.9066
0.8497 0.3673 0.3673
0.6327 0.1503 0.6327
0.3079 0.6921 0.0000
0.7188 0.7188 0.7188
0.2812 0.2812 0.2812

Entry 11:
PrEr2Hf, relaxed, DFT GGA-PBE; total magnetization = 0.00 Bohr magnetons per cell; electronic total energy = -23.404 eV per cell; V = 116.5 Å³/f.u.; DFT formation energy = 114 meV per atom; Fermi-level density of states = 5.60 states/eV per cell
1.0
3.4453 0.0000 0.0000
1.7226 2.9837 0.0000
1.7226 0.9946 11.3295
Er Pr Hf
2 1 1
Direct
0.2572 0.2572 0.2284
0.0761 0.0761 0.7716
0.5003 0.5003 0.4992
0.6664 0.6664 0.0008

Entry 12:
TiSi2F, relaxed, DFT GGA-PBE; total magnetization = 0.00 Bohr magnetons per cell; electronic total energy = -44.030 eV per cell; formation energy from raw total energies = -1.4 eV/f.u.; V = 58.8 Å³/f.u.; Fermi-level density of states = 6.40 states/eV per cell
1.0
-7.0521 1.8510 0.5838
-1.8821 -5.9841 -3.7612
-4.6096 -3.2011 0.2877
F Si Ti
2 4 2
Direct
0.2500 0.7500 0.5000
0.5000 0.5000 0.0000
0.3750 0.4162 0.7500
0.8750 0.8338 0.7500
0.1662 0.6250 0.2500
0.5838 0.1250 0.2500
0.7500 0.2500 0.5000
0.0000 0.0000 0.0000